(1)
! MnI2Br PBE relaxed; values from VASP
&SYSTEM
  ibrav = 0, nat = 16, ntyp = 3
/
ATOMIC_SPECIES
Mn 54.94 Mn.upf
I 126.90 I.upf
Br 79.90 Br.upf
ATOMIC_POSITIONS crystal
Mn 0.2500 0.0000 0.0955
Mn 0.2500 0.5000 0.4045
Mn 0.7500 0.0000 0.9045
Mn 0.7500 0.5000 0.5955
I 0.0692 0.2271 0.9210
I 0.0692 0.2729 0.5790
I 0.4308 0.7271 0.5790
I 0.4308 0.7729 0.9210
I 0.5692 0.2271 0.0790
I 0.5692 0.2729 0.4210
I 0.9308 0.7271 0.4210
I 0.9308 0.7729 0.0790
Br 0.1181 0.2500 0.2500
Br 0.3819 0.7500 0.2500
Br 0.6181 0.2500 0.7500
Br 0.8819 0.7500 0.7500
CELL_PARAMETERS angstrom
7.0066 0.0000 0.0000
0.0000 6.6437 0.0000
0.0000 0.0000 11.6003
! Raw total energy in Ry/atom: -0.28531
! Energy above the lowest structure with this stoichiometry in meV per atom: 0.0
! Size of the total moment in μB/f.u.: 4.00
! Raw formation energy in eV per atom: -0.40



(2)
! MnI3Br PBE relaxed; values from VASP
&SYSTEM
  ibrav = 0, nat = 5, ntyp = 3
/
ATOMIC_SPECIES
Mn 54.94 Mn.upf
I 126.90 I.upf
Br 79.90 Br.upf
ATOMIC_POSITIONS crystal
Mn 0.0000 0.0000 0.0000
I 0.0000 0.5000 0.5000
I 0.5000 0.0000 0.5000
I 0.5000 0.5000 0.0000
Br 0.5000 0.5000 0.5000
CELL_PARAMETERS angstrom
5.9713 0.0000 0.0000
0.0000 5.9713 0.0000
0.0000 0.0000 5.9713
! Raw total energy in Ry/atom: -0.17996
! Energy above the lowest structure with this stoichiometry in meV per atom: 915.9
! Size of the total moment in μB/f.u.: 5.98
! Raw formation energy in eV per atom: 0.65



(3)
! MnMo2IBr PBE relaxed; values from VASP
&SYSTEM
  ibrav = 0, nat = 5, ntyp = 4
/
ATOMIC_SPECIES
Mn 54.94 Mn.upf
Mo 95.94 Mo.upf
I 126.90 I.upf
Br 79.90 Br.upf
ATOMIC_POSITIONS crystal
Mn 0.0000 0.0000 0.0000
Mo 0.0000 0.5000 0.5000
Mo 0.5000 0.0000 0.5000
I 0.0000 0.0000 0.5000
Br 0.5000 0.5000 0.0000
CELL_PARAMETERS angstrom
5.1307 0.0000 0.0000
0.0000 5.1307 0.0000
0.0000 0.0000 5.0877
! Raw total energy in Ry/atom: -0.35868
! Size of the total moment in μB/f.u.: 0.95
! Raw formation energy in eV per atom: 1.93



- Look up the raw formation energy of the second one.
  0.65 eV per atom



- size of the total moment of number 2 (MnI3Br)?
  5.98 μB/f.u.